! Nb2ReSiIr GGA-PBE optimized geometry; values from VASP
&SYSTEM
  ibrav = 0, nat = 5, ntyp = 4
/
ATOMIC_SPECIES
Nb 92.91 Nb.upf
Re 186.21 Re.upf
Si 28.09 Si.upf
Ir 192.22 Ir.upf
ATOMIC_POSITIONS angstrom
Nb 0.000 2.438 0.000
Nb 2.438 0.000 0.000
Re 0.000 0.000 2.165
Si 2.438 2.438 2.165
Ir 2.438 2.438 0.000
CELL_PARAMETERS angstrom
4.876 0.000 0.000
0.000 4.876 0.000
0.000 0.000 4.329
! symmetry	P4/mmm
! electronic total energy	-8.1473	eV per atom

! TaNbReIr GGA-PBE optimized geometry; values from VASP
&SYSTEM
  ibrav = 0, nat = 16, ntyp = 4
/
ATOMIC_SPECIES
Ta 180.95 Ta.upf
Nb 92.91 Nb.upf
Re 186.21 Re.upf
Ir 192.22 Ir.upf
ATOMIC_POSITIONS angstrom
Ta 0.000 0.000 0.000
Ta 0.000 3.205 3.205
Ta 3.205 0.000 3.205
Ta 3.205 3.205 0.000
Nb 0.000 0.000 3.205
Nb 0.000 3.205 0.000
Nb 3.205 0.000 0.000
Nb 3.205 3.205 3.205
Re 1.602 1.602 4.807
Re 1.602 4.807 1.602
Re 4.807 1.602 1.602
Re 4.807 4.807 4.807
Ir 1.602 1.602 1.602
Ir 1.602 4.807 4.807
Ir 4.807 1.602 4.807
Ir 4.807 4.807 1.602
CELL_PARAMETERS angstrom
6.410 0.000 0.000
0.000 6.410 0.000
0.000 0.000 6.410
! ΔH_f (0 K)	-279	meV per atom
! symmetry	F-43m

! NbRe2TeIr GGA-PBE optimized geometry; values from VASP
&SYSTEM
  ibrav = 0, nat = 5, ntyp = 4
/
ATOMIC_SPECIES
Nb 92.91 Nb.upf
Re 186.21 Re.upf
Te 127.60 Te.upf
Ir 192.22 Ir.upf
ATOMIC_POSITIONS angstrom
Nb 0.000 0.000 0.000
Re 0.000 2.365 2.456
Re 2.365 0.000 2.456
Te 0.000 0.000 2.456
Ir 2.365 2.365 0.000
CELL_PARAMETERS angstrom
4.730 0.000 0.000
0.000 4.730 0.000
0.000 0.000 4.912
! symmetry	P4/mmm
! electronic total energy	-6.9332	eV per atom

! TiNbReIr GGA-PBE optimized geometry; values from VASP
&SYSTEM
  ibrav = 0, nat = 16, ntyp = 4
/
ATOMIC_SPECIES
Ti 47.87 Ti.upf
Nb 92.91 Nb.upf
Re 186.21 Re.upf
Ir 192.22 Ir.upf
ATOMIC_POSITIONS angstrom
Ti 0.000 0.000 0.000
Ti 0.000 3.162 3.162
Ti 3.162 0.000 3.162
Ti 3.162 3.162 0.000
Nb 0.000 0.000 3.162
Nb 0.000 3.162 0.000
Nb 3.162 0.000 0.000
Nb 3.162 3.162 3.162
Re 1.581 1.581 4.742
Re 1.581 4.742 1.581
Re 4.742 1.581 1.581
Re 4.742 4.742 4.742
Ir 1.581 1.581 1.581
Ir 1.581 4.742 4.742
Ir 4.742 1.581 4.742
Ir 4.742 4.742 1.581
CELL_PARAMETERS angstrom
6.323 0.000 0.000
0.000 6.323 0.000
0.000 0.000 6.323
! ΔH_f (0 K)	-486	meV per atom
! symmetry	F-43m

! Nb2ReIr5W GGA-PBE optimized geometry; values from VASP
&SYSTEM
  ibrav = 0, nat = 18, ntyp = 4
/
ATOMIC_SPECIES
Nb 92.91 Nb.upf
Re 186.21 Re.upf
Ir 192.22 Ir.upf
W 183.84 W.upf
ATOMIC_POSITIONS angstrom
Nb 4.557 0.852 0.000
Nb 0.852 2.853 0.000
Nb 2.853 0.852 5.494
Nb -0.852 2.853 5.494
Re 3.705 0.000 2.747
Re 0.000 3.705 2.747
Ir 0.000 0.000 0.000
Ir 2.234 1.471 -1.503
Ir 2.234 -1.471 3.991
Ir 2.234 1.471 1.503
Ir 2.234 -1.471 6.998
Ir 0.000 0.000 5.494
Ir 1.471 5.176 -1.503
Ir 1.471 2.234 3.991
Ir 1.471 5.176 1.503
Ir 1.471 2.234 6.998
W 0.000 0.000 2.747
W 0.000 0.000 8.241
CELL_PARAMETERS angstrom
-3.705 3.705 5.494
3.705 -3.705 5.494
3.705 3.705 -5.494
! ΔH_f (0 K)	433	meV per atom
! symmetry	I4/mcm

! NbZnReIr GGA-PBE optimized geometry; values from VASP
&SYSTEM
  ibrav = 0, nat = 16, ntyp = 4
/
ATOMIC_SPECIES
Nb 92.91 Nb.upf
Zn 65.41 Zn.upf
Re 186.21 Re.upf
Ir 192.22 Ir.upf
ATOMIC_POSITIONS angstrom
Nb 0.000 0.000 0.000
Nb 0.000 3.138 3.138
Nb 3.138 0.000 3.138
Nb 3.138 3.138 0.000
Zn 0.000 0.000 3.138
Zn 0.000 3.138 0.000
Zn 3.138 0.000 0.000
Zn 3.138 3.138 3.138
Re 1.569 1.569 1.569
Re 1.569 4.706 4.706
Re 4.706 1.569 4.706
Re 4.706 4.706 1.569
Ir 1.569 1.569 4.706
Ir 1.569 4.706 1.569
Ir 4.706 1.569 1.569
Ir 4.706 4.706 4.706
CELL_PARAMETERS angstrom
6.275 0.000 0.000
0.000 6.275 0.000
0.000 0.000 6.275
! ΔH_f (0 K)	-100	meV per atom
! symmetry	F-43m

! Nb4IrRh3 GGA-PBE optimized geometry; values from VASP
&SYSTEM
  ibrav = 0, nat = 8, ntyp = 3
/
ATOMIC_SPECIES
Nb 92.91 Nb.upf
Ir 192.22 Ir.upf
Rh 102.91 Rh.upf
ATOMIC_POSITIONS angstrom
Nb 0.000 0.000 1.421
Nb 0.000 0.000 4.308
Nb 0.000 0.000 7.201
Nb 0.000 0.000 10.088
Ir 1.438 1.942 0.000
Rh 1.438 1.942 2.886
Rh 1.438 1.942 5.754
Rh 1.438 1.942 8.623
CELL_PARAMETERS angstrom
2.876 0.000 0.000
0.000 3.884 0.000
0.000 0.000 11.509
! ΔH_f (0 K)	-450	meV per atom
! symmetry	Pmmm

! Nb11Ir9Rh4 GGA-PBE optimized geometry; values from VASP
&SYSTEM
  ibrav = 0, nat = 24, ntyp = 3
/
ATOMIC_SPECIES
Nb 92.91 Nb.upf
Ir 192.22 Ir.upf
Rh 102.91 Rh.upf
ATOMIC_POSITIONS angstrom
Nb 0.000 0.000 0.000
Nb 2.758 3.707 0.000
Nb 6.390 6.720 0.000
Nb 3.480 0.000 0.000
Nb 6.390 2.635 0.000
Nb 2.758 -3.707 0.000
Nb 10.022 3.707 0.000
Nb 6.390 -2.635 0.000
Nb 9.300 0.000 0.000
Nb 6.390 -6.720 0.000
Nb 10.022 -3.707 0.000
Ir 1.551 1.613 1.470
Ir 4.977 4.696 1.470
Ir 1.551 -1.613 1.470
Ir 7.802 4.696 1.470
Ir 6.390 0.000 1.470
Ir 4.977 -4.696 1.470
Ir 11.228 1.613 1.470
Ir 7.802 -4.696 1.470
Ir 11.228 -1.613 1.470
Rh 4.305 1.987 1.470
Rh 4.305 -1.987 1.470
Rh 8.475 1.987 1.470
Rh 8.475 -1.987 1.470
CELL_PARAMETERS angstrom
6.390 -10.350 0.000
6.390 10.350 0.000
0.000 0.000 2.940
! ΔH_f (0 K)	-436	meV per atom
! symmetry	Cmmm